{"formula": "La6Mg2FeN", "functional": "GGA-PBE", "state": "relaxed", "lattice": [[-3.346, -5.625, 3.729], [-2.791, -2.635, -6.481], [7.401, 1.135, 0.735]], "species": ["La", "La", "La", "La", "La", "La", "Mg", "Mg", "Fe", "N"], "frac_coords": [[0.754, 0.757, 0.990], [0.750, 0.750, 0.498], [0.236, 0.235, 0.990], [0.756, 0.236, 0.990], [0.242, 0.243, 0.484], [0.234, 0.756, 0.991], [0.747, 0.247, 0.492], [0.246, 0.747, 0.492], [0.527, 0.528, 0.057], [0.006, 0.007, 0.012]], "sg": "P1, No. 1", "raw_formation_energy_ev_per_atom": -0.2240}